Entry from the Alexandria database: a relaxed HfTiMn2O6 crystal (PBE with a Hubbard U).

Unit cell a=5.3472 b=5.3472 c=5.6441 alpha=61.73 beta=61.73 gamma=59.99
Last column: magnetic moment on the atom in μB.
Sites, in units of the cell vectors:
1 Hf 0.8125 0.8125 0.5623  0.02
2 Ti 0.3116 0.3116 0.0650  0.08
3 Mn 0.5294 0.5293 0.4119  4.62
4 Mn 0.0323 0.0324 0.9029  4.63
5 O 0.5834 0.1964 0.2576  0.03
6 O 0.1963 0.9626 0.2577  0.03
7 O 0.9626 0.5834 0.2576  0.03
8 O 0.4457 0.6870 0.7666  0.04
9 O 0.6870 0.1007 0.7667  0.04
10 O 0.1006 0.4457 0.7667  0.04

Computed properties:
crystal system	trigonal
E_tot	-8.880	eV per atom